LiBeCl after structural relaxation. Source: Alexandria, functional GGA-PBE.

For the density of states at the Fermi level, the calculation gives 0.1 states/eV per cell. The value obtained for the energy relative to the elements, uncorrected is -0.0666 eV per atom. Its space group is I4mm, No. 107. Its relative energy among the computed polymorphs is 0.168 eV per atom.

abc: 6.164 6.164 6.164
angles: 151.39 151.39 40.90
Fractional coordinates of all 3 atoms:
Be (0.987, 0.987, 0.000)
Cl (0.387, 0.387, 0.000)
Li (0.625, 0.625, 0.000)